# 1
This record from Alexandria describes a relaxed LaAu crystal. The functional is PBE.

Summary:
symmetry	No. 223
Fermi-level density of states	10.300	states/eV per cell
energy of formation from the pure elements	-2.51	kcal/mol of atoms
crystal system	cubic
final energy	-4.2111	eV/atom

The structure in POSCAR format:
```
LaAu
1.0
8.405 0.000 0.000
0.000 8.405 0.000
0.000 0.000 8.405
Au La
6 6
Direct
0.750 0.500 0.000 Au
0.500 0.000 0.250 Au
0.500 0.000 0.750 Au
0.250 0.500 0.000 Au
0.000 0.750 0.500 Au
0.000 0.250 0.500 Au
0.500 0.750 0.000 La
0.750 0.000 0.500 La
0.500 0.250 0.000 La
0.250 0.000 0.500 La
0.000 0.500 0.750 La
0.000 0.500 0.250 La
```



# 2
This record from Alexandria describes a relaxed La3Au crystal. The functional is PBE.

Summary:
symmetry	No. 139
Fermi-level density of states	5.194	states/eV per cell
energy of formation from the pure elements	-5.77	kcal/mol of atoms
crystal system	tetragonal
final energy	-4.7653	eV/atom

The structure in POSCAR format:
```
La3Au
1.0
6.240 -0.003 0.000
2.613 5.666 0.000
-4.426 -2.832 3.365
La Au
3 1
Direct
0.750 0.250 0.500 La
0.250 0.750 0.500 La
0.500 0.500 0.000 La
0.000 0.000 0.000 Au
```



# 3
This record from Alexandria describes a relaxed LaAu crystal. The functional is PBE.

Summary:
symmetry	No. 166
Fermi-level density of states	1.882	states/eV per cell
energy of formation from the pure elements	-16.33	kcal/mol of atoms
crystal system	trigonal
final energy	-4.8104	eV/atom

The structure in POSCAR format:
```
LaAu
1.0
-1.648 -3.012 -3.071
1.772 -4.162 -0.870
-2.007 -4.020 1.017
La Au
1 1
Direct
0.500 0.500 0.500 La
0.000 0.000 0.000 Au
```



# 4
This record from Alexandria describes a relaxed LaAu crystal. The functional is PBE.

Summary:
symmetry	No. 62
Fermi-level density of states	6.846	states/eV per cell
energy of formation from the pure elements	-19.05	kcal/mol of atoms
crystal system	orthorhombic
final energy	-4.9287	eV/atom

The structure in POSCAR format:
```
LaAu
1.0
-0.418 -1.278 4.738
-4.084 -4.071 -1.458
5.495 -5.185 -0.914
Au La
4 4
Direct
0.750 0.348 0.040 Au
0.250 0.848 0.460 Au
0.750 0.152 0.540 Au
0.250 0.652 0.960 Au
0.250 0.147 0.814 La
0.250 0.353 0.314 La
0.750 0.853 0.186 La
0.750 0.647 0.686 La
```



# 5
This record from Alexandria describes a relaxed LaAu13 crystal. The functional is PBE.

Summary:
symmetry	No. 226
Fermi-level density of states	9.393	states/eV per cell
energy of formation from the pure elements	-3.03	kcal/mol of atoms
crystal system	cubic
final energy	-3.5267	eV/atom

The structure in POSCAR format:
```
LaAu13
1.0
9.333 0.000 0.000
4.667 8.083 0.000
4.667 2.694 7.621
Au La
26 2
Direct
0.438 0.801 0.562 Au
0.938 0.301 0.699 Au
0.562 0.801 0.199 Au
0.438 0.562 0.199 Au
0.562 0.438 0.801 Au
0.199 0.801 0.438 Au
0.699 0.938 0.301 Au
0.500 0.500 0.500 Au
0.301 0.699 0.938 Au
0.801 0.199 0.562 Au
0.801 0.438 0.199 Au
0.938 0.699 0.062 Au
0.062 0.938 0.699 Au
0.062 0.301 0.938 Au
0.062 0.699 0.301 Au
0.199 0.438 0.562 Au
0.699 0.301 0.062 Au
0.301 0.938 0.062 Au
0.301 0.062 0.699 Au
0.562 0.199 0.438 Au
0.699 0.062 0.938 Au
0.938 0.062 0.301 Au
0.801 0.562 0.438 Au
0.000 0.000 0.000 Au
0.199 0.562 0.801 Au
0.438 0.199 0.801 Au
0.250 0.250 0.250 La
0.750 0.750 0.750 La
```



# 6
This record from Alexandria describes a relaxed LaAu crystal. The functional is PBE.

Summary:
symmetry	No. 74
Fermi-level density of states	4.413	states/eV per cell
energy of formation from the pure elements	-14.95	kcal/mol of atoms
crystal system	orthorhombic
final energy	-4.7509	eV/atom

The structure in POSCAR format:
```
LaAu
1.0
6.446 0.007 0.000
3.487 5.421 0.000
-4.705 -3.192 3.037
La Au
2 2
Direct
0.857 0.107 0.250 La
0.143 0.893 0.750 La
0.598 0.348 0.750 Au
0.402 0.652 0.250 Au
```



# 7
This record from Alexandria describes a relaxed LaAu2 crystal. The functional is PBE.

Summary:
symmetry	No. 225
Fermi-level density of states	2.740	states/eV per cell
energy of formation from the pure elements	-12.17	kcal/mol of atoms
crystal system	cubic
final energy	-4.3553	eV/atom

The structure in POSCAR format:
```
LaAu2
1.0
5.024 0.000 0.000
2.512 4.351 0.000
2.512 1.450 4.102
La Au
1 2
Direct
0.000 0.000 0.000 La
0.250 0.250 0.250 Au
0.750 0.750 0.750 Au
```



# 8
This record from Alexandria describes a relaxed LaAu3 crystal. The functional is PBE.

Summary:
symmetry	No. 99
Fermi-level density of states	0.955	states/eV per cell
energy of formation from the pure elements	-12.17	kcal/mol of atoms
crystal system	tetragonal
final energy	-4.2176	eV/atom

The structure in POSCAR format:
```
LaAu3
1.0
4.034 0.000 0.000
0.000 4.034 0.000
0.000 0.000 5.889
Au La
3 1
Direct
0.000 0.000 0.903 Au
0.500 0.000 0.542 Au
0.500 0.500 0.903 Au
0.000 0.500 0.318 La
```



# 9
This record from Alexandria describes a relaxed LaAu3 crystal. The functional is PBE.

Summary:
symmetry	No. 194
Fermi-level density of states	8.081	states/eV per cell
energy of formation from the pure elements	-13.84	kcal/mol of atoms
crystal system	hexagonal
final energy	-4.2899	eV/atom

The structure in POSCAR format:
```
LaAu3
1.0
6.669 0.000 0.000
-3.335 5.776 0.000
0.000 0.000 9.532
Au La
12 4
Direct
0.500 0.500 0.500 Au
0.183 0.366 0.750 Au
0.183 0.817 0.750 Au
0.000 0.500 0.000 Au
0.000 0.500 0.500 Au
0.500 0.500 0.000 Au
0.817 0.183 0.250 Au
0.500 0.000 0.500 Au
0.500 0.000 0.000 Au
0.366 0.183 0.250 Au
0.634 0.817 0.750 Au
0.817 0.634 0.250 Au
0.000 0.000 0.000 La
0.000 0.000 0.500 La
0.667 0.333 0.750 La
0.333 0.667 0.250 La
```



# 10
This record from Alexandria describes a relaxed LaAu2 crystal. The functional is PBE.

Summary:
symmetry	No. 194
Fermi-level density of states	2.803	states/eV per cell
energy of formation from the pure elements	-17.61	kcal/mol of atoms
crystal system	hexagonal
final energy	-4.5911	eV/atom

The structure in POSCAR format:
```
LaAu2
1.0
5.184 0.000 0.000
-2.592 4.489 0.000
0.000 0.000 6.336
La Au
2 4
Direct
0.667 0.333 0.250 La
0.333 0.667 0.750 La
0.333 0.667 0.250 Au
0.000 0.000 0.000 Au
0.667 0.333 0.750 Au
0.000 0.000 0.500 Au
```



# 11
This record from Alexandria describes a relaxed LaAu3 crystal. The functional is PBE.

Summary:
symmetry	No. 139
Fermi-level density of states	0.911	states/eV per cell
energy of formation from the pure elements	-7.16	kcal/mol of atoms
crystal system	tetragonal
final energy	-4.0002	eV/atom

The structure in POSCAR format:
```
LaAu3
1.0
-3.185 -1.975 -1.823
-0.888 -1.894 3.604
-1.507 6.326 0.543
Au La
3 1
Direct
0.500 0.500 0.000 Au
0.263 0.263 0.525 Au
0.737 0.737 0.475 Au
0.000 0.000 0.000 La
```



# 12
This record from Alexandria describes a relaxed LaAu3 crystal. The functional is PBE.

Summary:
symmetry	No. 139
Fermi-level density of states	0.971	states/eV per cell
energy of formation from the pure elements	-15.41	kcal/mol of atoms
crystal system	tetragonal
final energy	-4.3583	eV/atom

The structure in POSCAR format:
```
LaAu3
1.0
-1.940 2.316 4.034
-2.562 -4.180 1.167
5.015 -0.208 -0.617
Au La
3 1
Direct
0.750 0.250 0.500 Au
0.250 0.750 0.500 Au
0.500 0.500 0.000 Au
0.000 0.000 0.000 La
```